Pm3Ho4Th2 | PBE-GGA | relaxed

Unit cell a=5.073 b=7.981 c=8.015 alpha=107.30 beta=108.45 gamma=90.00
Positions (direct):
Pm 0.886 0.326 0.773
Pm 0.114 0.674 0.227
Pm 0.000 0.000 0.000
Ho 0.556 0.330 0.111
Ho 0.778 0.672 0.556
Ho 0.444 0.670 0.889
Ho 0.222 0.328 0.444
Th 0.331 0.000 0.662
Th 0.669 0.000 0.338

The symmetry is C2/m, No. 12. The formation energy comes out at 36 meV per atom.

Pm9HoTh2 | PBE-GGA | relaxed

Unit cell a=5.123 b=5.123 c=15.381 alpha=90.00 beta=90.00 gamma=90.00
Positions (direct):
Pm 0.500 0.500 0.000
Pm 0.500 0.500 0.333
Pm 0.500 0.500 0.667
Pm 0.500 0.000 0.168
Pm 0.500 0.000 0.500
Pm 0.500 0.000 0.832
Pm 0.000 0.500 0.168
Pm 0.000 0.500 0.500
Pm 0.000 0.500 0.832
Ho 0.000 0.000 0.000
Th 0.000 0.000 0.333
Th 0.000 0.000 0.667

The symmetry is P4/mmm, No. 123. The formation energy comes out at 43 meV per atom.

Pm3HoTh2 | PBE-GGA | relaxed

Unit cell a=3.616 b=10.165 c=10.794 alpha=90.32 beta=90.00 gamma=90.00
Positions (direct):
Pm 0.750 0.132 0.584
Pm 0.250 0.868 0.416
Pm 0.750 0.623 0.250
Pm 0.250 0.377 0.750
Pm 0.250 0.363 0.083
Pm 0.750 0.637 0.917
Ho 0.250 0.875 0.750
Ho 0.750 0.125 0.250
Th 0.250 0.378 0.418
Th 0.750 0.622 0.582
Th 0.750 0.116 0.918
Th 0.250 0.884 0.082

The symmetry is P2_1/m, No. 11. The formation energy comes out at 40 meV per atom.

Pm2HoTh | PBE-GGA | relaxed

Unit cell a=3.601 b=12.960 c=11.397 alpha=64.06 beta=108.37 gamma=146.25
Positions (direct):
Pm 0.630 0.129 0.743
Pm 0.370 0.871 0.257
Pm 0.767 0.256 0.000
Pm 0.233 0.744 0.000
Ho 0.131 0.630 0.740
Ho 0.869 0.370 0.260
Th 0.000 0.500 0.500
Th 0.500 0.000 0.500

The symmetry is C2/m, No. 12. The formation energy comes out at 24 meV per atom.

- Number 4 is which compound?
  Pm2HoTh